Version P
DFT (PBE) results for a geometry-optimized Cs2AgPb structure.

Values from the calculation:
- Calculated volume: 47.82 Å³/atom
- Total magnetization: 2.3 μB per formula unit

Structure (POSCAR):
```
Cs2AgPb
1.0
-4.365 -1.915 4.371
-6.171 1.848 -0.570
-4.531 -4.317 -1.631
Pb Ag Cs
1 1 2
Cartesian
-7.534 -2.192 1.085 Pb
0.000 0.000 0.000 Ag
-11.301 -3.288 1.627 Cs
-3.767 -1.096 0.542 Cs
```

---

Version Q
DFT (PBE) results for a geometry-optimized Cs2AgPb structure.

Values from the calculation:
- Calculated volume: 51.89 Å³/atom
- Total magnetization: 0.7 μB per formula unit

Structure (POSCAR):
```
Cs2AgPb
1.0
-1.134 4.159 -2.655
-6.782 -0.249 -2.325
-4.997 3.881 3.381
Cs Pb Ag
2 1 1
Cartesian
-6.953 4.194 -0.110 Cs
-5.995 0.123 -2.089 Cs
-3.083 2.283 0.064 Pb
-10.119 4.838 -2.589 Ag
```

---

Stability verdict: version Q, ahead by 251 meV per atom

---

Version P
DFT (PBE) results for a geometry-optimized CsAgPb structure.

Values from the calculation:
- Calculated volume: 36.40 Å³/atom
- Total magnetization: 0.0 μB per formula unit

Structure (POSCAR):
```
CsAgPb
1.0
3.965 0.000 0.000
0.000 3.965 0.000
-1.983 -1.983 6.946
Ag Pb Cs
1 1 1
Cartesian
1.983 1.983 2.945 Ag
0.000 0.000 3.972 Pb
0.000 0.000 0.028 Cs
```

---

Version Q
DFT (PBE) results for a geometry-optimized CsAgPb structure.

Values from the calculation:
- Calculated volume: 42.34 Å³/atom
- Total magnetization: 0.0 μB per formula unit

Structure (POSCAR):
```
CsAgPb
1.0
-1.161 2.707 -4.058
-6.748 -6.959 -2.712
-7.096 4.833 5.255
Ag Cs Pb
4 4 4
Cartesian
-8.169 1.235 0.064 Ag
-8.130 -1.793 1.130 Ag
-6.836 -0.655 -1.579 Ag
-5.714 -0.334 1.413 Ag
-2.942 -0.471 -2.571 Cs
-12.064 1.052 1.056 Cs
-8.517 -5.174 -1.014 Cs
-5.327 3.047 3.558 Cs
-5.465 -2.785 -0.294 Pb
-8.379 0.658 2.837 Pb
-5.264 1.832 -0.369 Pb
-9.741 -1.251 -1.145 Pb
```

---

Version R
DFT (PBE) results for a geometry-optimized CsAgPb structure.

Values from the calculation:
- Calculated volume: 40.44 Å³/atom
- Total magnetization: 0.0 μB per formula unit

Structure (POSCAR):
```
CsAgPb
1.0
4.050 -0.001 -0.003
2.015 8.290 1.659
2.009 2.326 7.690
Cs Ag Pb
2 2 2
Cartesian
3.790 1.489 4.660 Cs
5.819 5.964 3.029 Cs
3.800 3.380 1.202 Ag
5.810 4.073 6.486 Ag
1.773 1.154 0.960 Pb
3.785 6.301 6.732 Pb
```

---

Version S
DFT (PBE) results for a geometry-optimized CsAgPb structure.

Values from the calculation:
- Calculated volume: 39.25 Å³/atom
- Total magnetization: 0.0 μB per formula unit

Structure (POSCAR):
```
CsAgPb
1.0
-0.150 3.649 -0.418
-2.528 -0.554 -3.930
-5.737 0.212 3.659
Cs Pb Ag
1 1 1
Cartesian
-2.575 2.805 -1.556 Cs
-4.051 3.197 2.154 Pb
-5.469 1.100 0.545 Ag
```

---

Stability verdict: version Q, ahead by 17 meV per atom

---

Version P
DFT (PBE) results for a geometry-optimized CsAgPb3 structure.

Values from the calculation:
- Calculated volume: 34.82 Å³/atom
- Total magnetization: 0.0 μB per formula unit

Structure (POSCAR):
```
CsAgPb3
1.0
5.176 -0.004 0.001
-0.002 5.176 0.001
2.584 2.584 6.498
Pb Cs Ag
3 1 1
Cartesian
1.822 3.395 2.717 Pb
4.411 3.392 0.768 Pb
4.411 5.980 2.717 Pb
4.410 3.391 5.841 Cs
1.822 5.983 4.279 Ag
```

---

Version Q
DFT (PBE) results for a geometry-optimized CsAgPb3 structure.

Values from the calculation:
- Calculated volume: 38.14 Å³/atom
- Total magnetization: 0.0 μB per formula unit

Structure (POSCAR):
```
CsAgPb3
1.0
5.756 0.000 0.000
0.000 5.756 0.000
0.000 0.000 5.756
Cs Pb Ag
1 3 1
Cartesian
2.878 2.878 2.878 Cs
2.878 0.000 0.000 Pb
0.000 0.000 2.878 Pb
0.000 2.878 0.000 Pb
0.000 0.000 0.000 Ag
```

---

Stability verdict: version P, ahead by 290 meV per atom

---

Version P
DFT (PBE) results for a geometry-optimized Cs2AgPb2 structure.

Values from the calculation:
- Calculated volume: 52.02 Å³/atom
- Total magnetization: 0.0 μB per formula unit

Structure (POSCAR):
```
Cs2AgPb2
1.0
7.789 0.000 0.000
0.000 7.789 0.000
3.894 3.894 4.287
Ag Pb Cs
1 2 2
Cartesian
0.000 0.000 0.000 Ag
7.789 7.789 2.882 Pb
3.894 3.894 1.405 Pb
3.894 7.789 2.144 Cs
7.789 3.894 2.144 Cs
```

---

Version Q
DFT (PBE) results for a geometry-optimized Cs2AgPb2 structure.

Values from the calculation:
- Calculated volume: 48.21 Å³/atom
- Total magnetization: 0.0 μB per formula unit

Structure (POSCAR):
```
Cs2AgPb2
1.0
11.621 0.000 0.000
0.000 11.621 0.000
0.000 0.000 3.570
Cs Pb Ag
4 4 2
Cartesian
2.399 3.411 0.000 Cs
8.210 2.399 0.000 Cs
9.221 8.210 0.000 Cs
3.411 9.221 0.000 Cs
1.035 6.846 1.785 Pb
4.775 1.035 1.785 Pb
6.846 10.585 1.785 Pb
10.585 4.775 1.785 Pb
5.810 5.810 0.000 Ag
0.000 0.000 0.000 Ag
```

---

Stability verdict: version P, ahead by 113 meV per atom

---

Version P
DFT (PBE) results for a geometry-optimized Cs2AgPb2 structure.

Values from the calculation:
- Calculated volume: 39.80 Å³/atom
- Total magnetization: 0.0 μB per formula unit

Structure (POSCAR):
```
Cs2AgPb2
1.0
-5.244 -0.817 2.977
5.179 0.716 3.100
-0.105 12.500 3.245
Cs Pb Ag
4 4 2
Cartesian
0.173 10.347 6.251 Cs
-3.015 7.894 6.182 Cs
-0.342 2.052 3.072 Cs
2.846 4.505 3.140 Cs
3.366 12.761 6.320 Pb
-3.535 -0.363 3.002 Pb
-0.966 6.296 3.136 Pb
0.797 6.103 6.187 Pb
-3.958 2.512 3.044 Ag
-1.390 9.171 3.178 Ag
```

---

Version Q
DFT (PBE) results for a geometry-optimized Cs2AgPb2 structure.

Values from the calculation:
- Calculated volume: 47.75 Å³/atom
- Total magnetization: 0.0 μB per formula unit

Structure (POSCAR):
```
Cs2AgPb2
1.0
11.455 0.000 0.000
0.000 11.455 0.000
0.000 0.000 3.639
Pb Cs Ag
4 4 2
Cartesian
6.762 10.420 0.000 Pb
1.035 6.762 0.000 Pb
4.693 1.035 0.000 Pb
10.420 4.693 0.000 Pb
9.098 8.085 1.819 Cs
2.357 3.370 1.819 Cs
3.370 9.098 1.819 Cs
8.085 2.357 1.819 Cs
5.728 5.728 0.000 Ag
0.000 0.000 0.000 Ag
```

---

Stability verdict: version P, ahead by 307 meV per atom

---

Version P
DFT (PBE) results for a geometry-optimized CsAg3Pb structure.

Values from the calculation:
- Calculated volume: 42.20 Å³/atom
- Total magnetization: 0.0 μB per formula unit

Structure (POSCAR):
```
CsAg3Pb
1.0
5.953 0.000 0.000
0.000 5.953 0.000
0.000 0.000 5.953
Pb Ag Cs
1 3 1
Cartesian
2.977 2.977 2.977 Pb
0.000 2.977 0.000 Ag
0.000 0.000 2.977 Ag
2.977 0.000 0.000 Ag
0.000 0.000 0.000 Cs
```

---

Version Q
DFT (PBE) results for a geometry-optimized CsAg3Pb structure.

Values from the calculation:
- Calculated volume: 34.22 Å³/atom
- Total magnetization: 0.0 μB per formula unit

Structure (POSCAR):
```
CsAg3Pb
1.0
5.552 0.000 0.000
0.000 5.552 0.000
0.000 0.000 5.552
Ag Cs Pb
3 1 1
Cartesian
0.000 2.776 0.000 Ag
2.776 0.000 0.000 Ag
0.000 0.000 2.776 Ag
2.776 2.776 2.776 Cs
0.000 0.000 0.000 Pb
```

---

Stability verdict: version Q, ahead by 1036 meV per atom